DFT (PBE-GGA) results for a relaxed Mn2CoSi crystal.

Computed properties:
SG: Pmmm
Crystal system: orthorhombic
Total moment in μB per formula unit: 4.28
E_form (uncorrected) in eV/atom: -0.169

Unit cell a=2.590 b=3.515 c=4.966 alpha=90.00 beta=90.00 gamma=90.00
Positions (direct):
Mn: 0.000 0.000 0.250
Mn: 0.000 0.000 0.750
Co: 0.500 0.500 0.000
Si: 0.500 0.500 0.500

---

DFT (PBE-GGA) results for a relaxed ErTmTc crystal.

Computed properties:
SG: Pnma
Energy above the lowest structure with this stoichiometry in meV per atom: 125
ΔH_f (0 K) in eV/atom: 0.026
Crystal system: orthorhombic
Total moment in μB per formula unit: 0.00

Unit cell a=10.211 b=4.957 c=5.829 alpha=90.00 beta=90.00 gamma=90.00
Positions (direct):
Er: 0.029 0.250 0.164
Er: 0.471 0.750 0.664
Er: 0.529 0.250 0.336
Er: 0.971 0.750 0.836
Tm: 0.206 0.250 0.618
Tm: 0.294 0.750 0.118
Tm: 0.706 0.250 0.882
Tm: 0.794 0.750 0.382
Tc: 0.067 0.750 0.376
Tc: 0.433 0.250 0.876
Tc: 0.567 0.750 0.124
Tc: 0.933 0.250 0.624

---

DFT (PBE-GGA) results for a relaxed CsVCo2 crystal.

Computed properties:
SG: I-42d
Energy above the lowest structure with this stoichiometry in meV per atom: 0
ΔH_f (0 K) in eV/atom: 1.305
Crystal system: tetragonal
Total moment in μB per formula unit: 0.00

Unit cell a=6.201 b=6.201 c=6.201 alpha=111.36 beta=111.36 gamma=105.75
Positions (direct):
Cs: 0.000 0.000 0.000
Cs: 0.750 0.250 0.500
V: 0.250 0.750 0.500
V: 0.500 0.500 0.000
Co: 0.236 0.625 0.111
Co: 0.375 0.486 0.611
Co: 0.514 0.125 0.889
Co: 0.875 0.764 0.389

---

DFT (PBE-GGA) results for a relaxed Be2CdSnW crystal.

Computed properties:
SG: P4/mmm
ΔH_f (0 K) in eV/atom: 1.568
Crystal system: tetragonal
Total moment in μB per formula unit: 0.00

Unit cell a=4.418 b=4.418 c=5.239 alpha=90.00 beta=90.00 gamma=90.00
Positions (direct):
Be: 0.000 0.500 0.000
Be: 0.500 0.000 0.000
Cd: 0.000 0.000 0.500
Sn: 0.500 0.500 0.000
W: 0.500 0.500 0.500

---

DFT (PBE-GGA) results for a relaxed Zr2NbS crystal.

Computed properties:
SG: R-3m
Crystal system: trigonal
Total moment in μB per formula unit: 0.00
E_form (uncorrected) in eV/atom: -0.229

Unit cell a=9.344 b=9.344 c=9.344 alpha=19.85 beta=19.85 gamma=19.85
Positions (direct):
Zr: 0.100 0.100 0.100
Zr: 0.900 0.900 0.900
Nb: 0.000 0.000 0.000
S: 0.500 0.500 0.500

---

DFT (PBE-GGA) results for a relaxed Li12ErAg6 crystal.

Computed properties:
SG: R-3
ΔH_f (0 K) in eV/atom: -0.104
Crystal system: trigonal
Total moment in μB per formula unit: 0.00

Unit cell a=7.131 b=7.131 c=7.131 alpha=87.92 beta=87.92 gamma=87.92
Positions (direct):
Li: 0.018 0.905 0.312
Li: 0.095 0.688 0.982
Li: 0.101 0.457 0.338
Li: 0.312 0.018 0.905
Li: 0.338 0.101 0.457
Li: 0.457 0.338 0.101
Li: 0.543 0.662 0.899
Li: 0.662 0.899 0.543
Li: 0.688 0.982 0.095
Li: 0.899 0.543 0.662
Li: 0.905 0.312 0.018
Li: 0.982 0.095 0.688
Er: 0.500 0.500 0.500
Ag: 0.212 0.771 0.625
Ag: 0.229 0.375 0.788
Ag: 0.375 0.788 0.229
Ag: 0.625 0.212 0.771
Ag: 0.771 0.625 0.212
Ag: 0.788 0.229 0.375

---

DFT (PBE-GGA) results for a relaxed HgSbTe2 crystal.

Computed properties:
SG: Pm
Energy above the lowest structure with this stoichiometry in meV per atom: 90
Crystal system: monoclinic
Total moment in μB per formula unit: 0.00
E_form (uncorrected) in eV/atom: 0.011

Unit cell a=3.203 b=4.362 c=8.938 alpha=90.00 beta=93.44 gamma=90.00
Positions (direct):
Hg: 0.000 0.000 0.000
Sb: 0.027 0.500 0.755
Te: 0.980 0.500 0.227
Te: 0.998 0.000 0.520

---

DFT (PBE-GGA) results for a relaxed SnTe2MoP crystal.

Computed properties:
SG: P4/mmm
Crystal system: tetragonal
Total moment in μB per formula unit: 3.81
E_form (uncorrected) in eV/atom: 1.021

Unit cell a=5.297 b=5.297 c=5.011 alpha=90.00 beta=90.00 gamma=90.00
Positions (direct):
Sn: 0.000 0.000 0.000
Te: 0.000 0.500 0.500
Te: 0.500 0.000 0.500
Mo: 0.500 0.500 0.000
P: 0.000 0.000 0.500

---

> Which of these has the highest total moment?

Mn2CoSi